First-principles (PBE) data for a geometry-optimized PrMnBr structure, as listed in the Alexandria database.

a b c (Å): 3.9163 3.9167 12.8240
angles (deg): 89.61 89.95 60.02
Fractional coordinates of all 6 atoms:
Pr: 0.0000 0.0000 0.0000
Pr: 0.3387 0.3215 0.3808
Mn: 0.0037 0.9926 0.2189
Mn: 0.6700 0.6600 0.1906
Br: 0.0070 0.9834 0.5401
Br: 0.6647 0.6710 0.8425

* total magnetization: 0.33 Bohr magnetons per cell
* ΔE_f (raw): -0.65 eV/atom
* symmetry: No. 1